Compound: NaAg2SnS4
Source: the Alexandria database
Functional: PBE
Structure: optimized geometry

Summary:
The volume is 22.9 Å³/atom. The final energy comes out at -0.280 Ry/atom. Its formation energy without anion corrections is -374 meV per atom. The size of the total moment is 0.0 μB per cell.

a = 7.0020 Å, b = 7.0020 Å, c = 7.4705 Å
α = 90.00°, β = 90.00°, γ = 90.00°
Space group I-42m (No. 121)
One atom of each set of equivalent atoms:
1 Na 0.0000 0.0000 0.0000
2 Ag 0.0000 0.5000 0.2500
3 Sn 0.0000 0.0000 0.5000
4 S 0.1963 0.1963 0.6973


Compound: LiAc2Cd4Ag3
Source: the Alexandria database
Functional: PBE
Structure: optimized geometry

Summary:
The volume is 25.7 Å³/atom. The final energy comes out at -0.182 Ry/atom. The size of the total moment is 0.0 μB per cell. For the formation energy, the calculation gives -5.49 kcal/mol of atoms.

a = 4.4479 Å, b = 4.4479 Å, c = 12.9775 Å
α = 90.00°, β = 90.00°, γ = 90.00°
Space group P-4m2 (No. 115)
One atom of each set of equivalent atoms:
1 Li 0.0000 0.0000 0.0000
2 Ac 0.0000 0.5000 0.7419
3 Cd 0.0000 0.0000 0.5000
4 Cd 0.0000 0.5000 0.1366
5 Cd 0.5000 0.5000 0.5000
6 Ag 0.0000 0.5000 0.3561
7 Ag 0.5000 0.5000 0.0000


Compound: Y3InAg3Se8
Source: the Alexandria database
Functional: PBE
Structure: optimized geometry

Summary:
The volume is 25.5 Å³/atom. The final energy comes out at -0.359 Ry/atom. Its formation energy without anion corrections is -982 meV per atom. The size of the total moment is 0.0 μB per cell.

a = 13.8401 Å, b = 8.2426 Å, c = 8.0658 Å
α = 90.00°, β = 123.75°, γ = 90.00°
Space group C2/m (No. 12)
One atom of each set of equivalent atoms:
1 Y 0.0000 0.0000 0.0000
2 Y 0.2500 0.2500 0.5000
3 In 0.0000 0.5000 0.0000
4 Ag 0.0000 0.5000 0.5000
5 Ag 0.2500 0.2500 0.0000
6 Se 0.0015 0.2583 0.7575
7 Se 0.2431 0.5000 0.2408
8 Se 0.2480 0.0000 0.2527


What did the third record say?
Compound: Y3InAg3Se8
Source: the Alexandria database
Functional: PBE
Structure: optimized geometry

Summary:
The volume is 25.5 Å³/atom. The final energy comes out at -0.359 Ry/atom. Its formation energy without anion corrections is -982 meV per atom. The size of the total moment is 0.0 μB per cell.

a = 13.8401 Å, b = 8.2426 Å, c = 8.0658 Å
α = 90.00°, β = 123.75°, γ = 90.00°
Space group C2/m (No. 12)
One atom of each set of equivalent atoms:
1 Y 0.0000 0.0000 0.0000
2 Y 0.2500 0.2500 0.5000
3 In 0.0000 0.5000 0.0000
4 Ag 0.0000 0.5000 0.5000
5 Ag 0.2500 0.2500 0.0000
6 Se 0.0015 0.2583 0.7575
7 Se 0.2431 0.5000 0.2408
8 Se 0.2480 0.0000 0.2527


Question: Number 3 is which compound?
Answer: Y3InAg3Se8


Repeat the third record exactly.
Compound: Y3InAg3Se8
Source: the Alexandria database
Functional: PBE
Structure: optimized geometry

Summary:
The volume is 25.5 Å³/atom. The final energy comes out at -0.359 Ry/atom. Its formation energy without anion corrections is -982 meV per atom. The size of the total moment is 0.0 μB per cell.

a = 13.8401 Å, b = 8.2426 Å, c = 8.0658 Å
α = 90.00°, β = 123.75°, γ = 90.00°
Space group C2/m (No. 12)
One atom of each set of equivalent atoms:
1 Y 0.0000 0.0000 0.0000
2 Y 0.2500 0.2500 0.5000
3 In 0.0000 0.5000 0.0000
4 Ag 0.0000 0.5000 0.5000
5 Ag 0.2500 0.2500 0.0000
6 Se 0.0015 0.2583 0.7575
7 Se 0.2431 0.5000 0.2408
8 Se 0.2480 0.0000 0.2527